A relaxed YTe2Ir crystal, computed with GGA-PBE.

Properties
Distance to the lowest polymorph of the same formula ... 0.431 eV/atom
DFT total energy ... -5.698 eV per atom
V ... 22.84 Å³ per atom
Magnetization ... 0.00 μB per formula unit

Cell lengths 4.256, 4.256, 10.087 Å; angles 90.00, 90.00, 90.00 degrees
Space group I-4m2 (No. 119)
Asymmetric unit:
Y (0.000, 0.000, 0.000) [2 per cell]
Te (0.000, 0.000, 0.500) [2 per cell]
Te (0.000, 0.500, 0.250) [2 per cell]
Ir (0.000, 0.500, 0.750) [2 per cell]